A) # PBE-GGA SiAs2Se, optimized geometry
data_SiAs2Se
_cell_length_a 3.7825
_cell_length_b 3.7825
_cell_length_c 19.1556
_cell_angle_alpha 90.00
_cell_angle_beta 90.00
_cell_angle_gamma 120.00
_symmetry_space_group_name_H-M 'R -3 m'
_symmetry_Int_Tables_number 166
_symmetry_space_group_name_Hall '-R 3 2"'
loop_
_atom_site_label
_atom_site_fract_x
_atom_site_fract_y
_atom_site_fract_z
Si1 0.0000 0.0000 0.0000
As1 0.0000 0.0000 0.2610
Se1 0.0000 0.0000 0.5000
# Magnetization (μB/f.u.): 0.000

B) # PBE-GGA SiAs2Se, optimized geometry
data_SiAs2Se
_cell_length_a 3.7031
_cell_length_b 3.7031
_cell_length_c 24.4469
_cell_angle_alpha 90.00
_cell_angle_beta 90.00
_cell_angle_gamma 120.00
_symmetry_space_group_name_H-M 'R 3 m'
_symmetry_Int_Tables_number 160
_symmetry_space_group_name_Hall 'R 3 -2"'
loop_
_atom_site_label
_atom_site_fract_x
_atom_site_fract_y
_atom_site_fract_z
Si1 0.0000 0.0000 0.0000
As1 0.0000 0.0000 0.4635
As2 0.0000 0.0000 0.7414
Se1 0.0000 0.0000 0.2801
# Magnetization (μB/f.u.): 0.000

C) # PBE-GGA SiAs2Se, optimized geometry
data_SiAs2Se
_cell_length_a 6.6882
_cell_length_b 6.6882
_cell_length_c 6.6882
_cell_angle_alpha 90.00
_cell_angle_beta 90.00
_cell_angle_gamma 90.00
_symmetry_space_group_name_H-M 'F m -3 m'
_symmetry_Int_Tables_number 225
_symmetry_space_group_name_Hall '-F 4 2 3'
loop_
_atom_site_label
_atom_site_fract_x
_atom_site_fract_y
_atom_site_fract_z
Si1 0.0000 0.0000 0.0000
As1 0.2500 0.2500 0.2500
Se1 0.0000 0.0000 0.5000
# Magnetization (μB/f.u.): 0.000

D) # PBE-GGA SiAs2Se, optimized geometry
data_SiAs2Se
_cell_length_a 6.5283
_cell_length_b 6.5283
_cell_length_c 9.0334
_cell_angle_alpha 90.00
_cell_angle_beta 90.00
_cell_angle_gamma 90.00
_symmetry_space_group_name_H-M 'I -4 2 d'
_symmetry_Int_Tables_number 122
_symmetry_space_group_name_Hall 'I -4 2bw'
loop_
_atom_site_label
_atom_site_fract_x
_atom_site_fract_y
_atom_site_fract_z
Si1 0.0000 0.0000 0.0000
As1 0.2136 0.7500 0.1250
Se1 0.0000 0.0000 0.5000
# Magnetization (μB/f.u.): 0.000

Relative energies, meV/atom: A) 187; B) 0; C) 593; D) 309.

A) # PBE-GGA SiAsSe3, optimized geometry
data_SiAsSe3
_cell_length_a 4.8016
_cell_length_b 4.8016
_cell_length_c 4.8016
_cell_angle_alpha 90.00
_cell_angle_beta 90.00
_cell_angle_gamma 90.00
_symmetry_space_group_name_H-M 'P m -3 m'
_symmetry_Int_Tables_number 221
_symmetry_space_group_name_Hall '-P 4 2 3'
loop_
_atom_site_label
_atom_site_fract_x
_atom_site_fract_y
_atom_site_fract_z
Si1 0.0000 0.0000 0.0000
As1 0.5000 0.5000 0.5000
Se1 0.0000 0.0000 0.5000
# Magnetization (μB/f.u.): 0.000

B) # PBE-GGA SiAsSe3, optimized geometry
data_SiAsSe3
_cell_length_a 15.1626
_cell_length_b 3.4684
_cell_length_c 11.9718
_cell_angle_alpha 90.00
_cell_angle_beta 115.05
_cell_angle_gamma 90.00
_symmetry_space_group_name_H-M 'C 1 2/m 1'
_symmetry_Int_Tables_number 12
_symmetry_space_group_name_Hall '-C 2y'
loop_
_atom_site_label
_atom_site_fract_x
_atom_site_fract_y
_atom_site_fract_z
Si1 0.1598 0.0000 0.3868
As1 0.0306 0.5000 0.7501
Se1 0.1233 0.5000 0.2195
Se2 0.1251 0.0000 0.8942
Se3 0.1685 0.5000 0.5470
# Magnetization (μB/f.u.): 0.000

Relative energies, meV/atom: A) 600; B) 0.

A) # PBE-GGA TaSiAsSe2, optimized geometry
data_TaSiAsSe2
_cell_length_a 4.9489
_cell_length_b 4.9489
_cell_length_c 5.1565
_cell_angle_alpha 90.00
_cell_angle_beta 90.00
_cell_angle_gamma 90.00
_symmetry_space_group_name_H-M 'P 4/m m m'
_symmetry_Int_Tables_number 123
_symmetry_space_group_name_Hall '-P 4 2'
loop_
_atom_site_label
_atom_site_fract_x
_atom_site_fract_y
_atom_site_fract_z
Ta1 0.0000 0.0000 0.0000
Si1 0.5000 0.5000 0.5000
As1 0.0000 0.0000 0.5000
Se1 0.0000 0.5000 0.0000
# Magnetization (μB/f.u.): 0.000

B) # PBE-GGA TaSiAsSe2, optimized geometry
data_TaSiAsSe2
_cell_length_a 4.6939
_cell_length_b 4.6939
_cell_length_c 4.6985
_cell_angle_alpha 90.00
_cell_angle_beta 90.00
_cell_angle_gamma 90.00
_symmetry_space_group_name_H-M 'P 4/m m m'
_symmetry_Int_Tables_number 123
_symmetry_space_group_name_Hall '-P 4 2'
loop_
_atom_site_label
_atom_site_fract_x
_atom_site_fract_y
_atom_site_fract_z
Ta1 0.0000 0.0000 0.0000
Si1 0.5000 0.5000 0.5000
As1 0.5000 0.5000 0.0000
Se1 0.0000 0.5000 0.5000
# Magnetization (μB/f.u.): 1.343

Relative energies, meV/atom: A) 0; B) 366.

A) # PBE-GGA SiTcAs2Se, optimized geometry
data_SiTcAs2Se
_cell_length_a 4.7182
_cell_length_b 4.7182
_cell_length_c 4.7435
_cell_angle_alpha 90.00
_cell_angle_beta 90.00
_cell_angle_gamma 90.00
_symmetry_space_group_name_H-M 'P 4/m m m'
_symmetry_Int_Tables_number 123
_symmetry_space_group_name_Hall '-P 4 2'
loop_
_atom_site_label
_atom_site_fract_x
_atom_site_fract_y
_atom_site_fract_z
Si1 0.0000 0.0000 0.0000
Tc1 0.5000 0.5000 0.5000
As1 0.0000 0.5000 0.0000
Se1 0.0000 0.0000 0.5000
# Magnetization (μB/f.u.): 2.700

B) # PBE-GGA SiTcAs2Se, optimized geometry
data_SiTcAs2Se
_cell_length_a 4.7702
_cell_length_b 4.7702
_cell_length_c 4.7113
_cell_angle_alpha 90.00
_cell_angle_beta 90.00
_cell_angle_gamma 90.00
_symmetry_space_group_name_H-M 'P 4/m m m'
_symmetry_Int_Tables_number 123
_symmetry_space_group_name_Hall '-P 4 2'
loop_
_atom_site_label
_atom_site_fract_x
_atom_site_fract_y
_atom_site_fract_z
Si1 0.0000 0.0000 0.0000
Tc1 0.0000 0.0000 0.5000
As1 0.0000 0.5000 0.5000
Se1 0.5000 0.5000 0.0000
# Magnetization (μB/f.u.): 0.000

Relative energies, meV/atom: A) 682; B) 0.

A) # PBE-GGA SiTeAs2Se, optimized geometry
data_SiTeAs2Se
_cell_length_a 5.3041
_cell_length_b 5.3041
_cell_length_c 5.3027
_cell_angle_alpha 90.00
_cell_angle_beta 90.00
_cell_angle_gamma 90.00
_symmetry_space_group_name_H-M 'P 4/m m m'
_symmetry_Int_Tables_number 123
_symmetry_space_group_name_Hall '-P 4 2'
loop_
_atom_site_label
_atom_site_fract_x
_atom_site_fract_y
_atom_site_fract_z
Si1 0.0000 0.0000 0.0000
Te1 0.5000 0.5000 0.5000
As1 0.0000 0.5000 0.5000
Se1 0.5000 0.5000 0.0000
# Magnetization (μB/f.u.): 0.002

B) # PBE-GGA SiTeAs2Se, optimized geometry
data_SiTeAs2Se
_cell_length_a 4.8923
_cell_length_b 4.8923
_cell_length_c 4.7468
_cell_angle_alpha 90.00
_cell_angle_beta 90.00
_cell_angle_gamma 90.00
_symmetry_space_group_name_H-M 'P 4/m m m'
_symmetry_Int_Tables_number 123
_symmetry_space_group_name_Hall '-P 4 2'
loop_
_atom_site_label
_atom_site_fract_x
_atom_site_fract_y
_atom_site_fract_z
Si1 0.0000 0.0000 0.0000
Te1 0.5000 0.5000 0.5000
As1 0.0000 0.5000 0.0000
Se1 0.0000 0.0000 0.5000
# Magnetization (μB/f.u.): 0.000

Relative energies, meV/atom: A) 679; B) 0.

A) # PBE-GGA TiSiAsSe2, optimized geometry
data_TiSiAsSe2
_cell_length_a 4.8862
_cell_length_b 4.8862
_cell_length_c 4.9663
_cell_angle_alpha 90.00
_cell_angle_beta 90.00
_cell_angle_gamma 90.00
_symmetry_space_group_name_H-M 'P 4/m m m'
_symmetry_Int_Tables_number 123
_symmetry_space_group_name_Hall '-P 4 2'
loop_
_atom_site_label
_atom_site_fract_x
_atom_site_fract_y
_atom_site_fract_z
Ti1 0.0000 0.0000 0.0000
Si1 0.5000 0.5000 0.5000
As1 0.0000 0.0000 0.5000
Se1 0.0000 0.5000 0.0000
# Magnetization (μB/f.u.): 0.000

B) # PBE-GGA TiSiAsSe2, optimized geometry
data_TiSiAsSe2
_cell_length_a 4.7568
_cell_length_b 4.7568
_cell_length_c 4.7330
_cell_angle_alpha 90.00
_cell_angle_beta 90.00
_cell_angle_gamma 90.00
_symmetry_space_group_name_H-M 'P 4/m m m'
_symmetry_Int_Tables_number 123
_symmetry_space_group_name_Hall '-P 4 2'
loop_
_atom_site_label
_atom_site_fract_x
_atom_site_fract_y
_atom_site_fract_z
Ti1 0.0000 0.0000 0.0000
Si1 0.5000 0.5000 0.5000
As1 0.5000 0.5000 0.0000
Se1 0.0000 0.5000 0.5000
# Magnetization (μB/f.u.): 0.050

Relative energies, meV/atom: A) 0; B) 217.